# 1
# CsLaZn2

CsLaZn2 after structural relaxation (PBE, the Alexandria database).

a = 8.861 Å, b = 8.861 Å, c = 7.722 Å
α = 90.00°, β = 90.00°, γ = 90.00°
Positions (direct):
Cs1 0.000 0.000 0.000
Cs2 0.000 0.500 0.250
Cs3 0.500 0.000 0.750
Cs4 0.500 0.500 0.500
La1 0.000 0.000 0.500
La2 0.000 0.500 0.750
La3 0.500 0.000 0.250
La4 0.500 0.500 0.000
Zn1 0.207 0.250 0.625
Zn2 0.250 0.707 0.875
Zn3 0.250 0.793 0.375
Zn4 0.293 0.250 0.125
Zn5 0.707 0.750 0.125
Zn6 0.750 0.207 0.375
Zn7 0.750 0.293 0.875
Zn8 0.793 0.750 0.625

## Properties
The calculation puts the formation energy at 0.39 eV/atom. The value obtained for the polymorph energy (0 for the lowest one) is 0.124 eV/atom. The density of states at the Fermi level is 20.3 states/eV per cell. For the total energy, the calculation gives -1.688 eV/atom.

***

# 2
# Al2SeI

Al2SeI after structural relaxation (PBE, the Alexandria database).

a = 7.206 Å, b = 7.206 Å, c = 7.206 Å
α = 90.00°, β = 90.00°, γ = 90.00°
Positions (direct):
Al1 0.250 0.250 0.250
Al2 0.250 0.250 0.750
Al3 0.250 0.750 0.250
Al4 0.250 0.750 0.750
Al5 0.750 0.250 0.250
Al6 0.750 0.250 0.750
Al7 0.750 0.750 0.250
Al8 0.750 0.750 0.750
Se1 0.000 0.000 0.000
Se2 0.000 0.500 0.500
Se3 0.500 0.000 0.500
Se4 0.500 0.500 0.000
I1 0.000 0.000 0.500
I2 0.000 0.500 0.000
I3 0.500 0.000 0.000
I4 0.500 0.500 0.500

## Properties
The value obtained for the polymorph energy (0 for the lowest one) is 0.174 eV/atom. The density of states at the Fermi level is 6.7 states/eV per cell. For the total energy, the calculation gives -2.963 eV/atom. The calculation puts the formation energy without anion corrections at 0.167 eV/atom.

***

# 3
# La3AuC

La3AuC after structural relaxation (PBE, the Alexandria database).

a = 5.368 Å, b = 7.533 Å, c = 7.225 Å
α = 90.00°, β = 111.75°, γ = 90.00°
Positions (direct):
La1 0.038 0.250 0.077
La2 0.367 0.023 0.734
La3 0.367 0.477 0.734
La4 0.633 0.523 0.266
La5 0.633 0.977 0.266
La6 0.962 0.750 0.923
Au1 0.188 0.750 0.377
Au2 0.812 0.250 0.623
C1 0.482 0.750 0.963
C2 0.518 0.250 0.037

## Properties
The calculation puts the formation energy at -0.37 eV/atom. The value obtained for the polymorph energy (0 for the lowest one) is 0.014 eV/atom. The density of states at the Fermi level is 7.0 states/eV per cell. For the total energy, the calculation gives -5.823 eV/atom.

***

# 4
# PmSmSnRh

PmSmSnRh after structural relaxation (PBE, the Alexandria database).

a = 7.388 Å, b = 7.388 Å, c = 7.388 Å
α = 90.00°, β = 90.00°, γ = 90.00°
Positions (direct):
Pm1 0.000 0.000 0.000
Pm2 0.000 0.500 0.500
Pm3 0.500 0.000 0.500
Pm4 0.500 0.500 0.000
Sm1 0.000 0.000 0.500
Sm2 0.000 0.500 0.000
Sm3 0.500 0.000 0.000
Sm4 0.500 0.500 0.500
Sn1 0.250 0.250 0.250
Sn2 0.250 0.750 0.750
Sn3 0.750 0.250 0.750
Sn4 0.750 0.750 0.250
Rh1 0.250 0.250 0.750
Rh2 0.250 0.750 0.250
Rh3 0.750 0.250 0.250
Rh4 0.750 0.750 0.750

## Properties
The calculation puts the formation energy at -0.58 eV/atom. The density of states at the Fermi level is 11.1 states/eV per cell. For the total energy, the calculation gives -5.788 eV/atom.

***

# 5
# Pm12Er3In

Pm12Er3In after structural relaxation (PBE, the Alexandria database).

a = 5.054 Å, b = 5.054 Å, c = 20.470 Å
α = 90.00°, β = 90.00°, γ = 90.00°
Positions (direct):
Pm1 0.000 0.000 0.000
Pm2 0.000 0.000 0.247
Pm3 0.000 0.000 0.500
Pm4 0.000 0.000 0.753
Pm5 0.000 0.500 0.121
Pm6 0.000 0.500 0.374
Pm7 0.000 0.500 0.626
Pm8 0.000 0.500 0.879
Pm9 0.500 0.000 0.121
Pm10 0.500 0.000 0.374
Pm11 0.500 0.000 0.626
Pm12 0.500 0.000 0.879
Er1 0.500 0.500 0.248
Er2 0.500 0.500 0.500
Er3 0.500 0.500 0.752
In1 0.500 0.500 0.000

## Properties
The calculation puts the formation energy at -0.05 eV/atom. The density of states at the Fermi level is 22.1 states/eV per cell. For the total energy, the calculation gives -4.639 eV/atom.

***

# 6
# NaMo2Cl

NaMo2Cl after structural relaxation (PBE, the Alexandria database).

a = 6.520 Å, b = 6.520 Å, c = 6.520 Å
α = 90.00°, β = 90.00°, γ = 90.00°
Positions (direct):
Na1 0.000 0.000 0.000
Na2 0.000 0.500 0.500
Na3 0.500 0.000 0.500
Na4 0.500 0.500 0.000
Mo1 0.250 0.250 0.250
Mo2 0.250 0.250 0.750
Mo3 0.250 0.750 0.250
Mo4 0.250 0.750 0.750
Mo5 0.750 0.250 0.250
Mo6 0.750 0.250 0.750
Mo7 0.750 0.750 0.250
Mo8 0.750 0.750 0.750
Cl1 0.000 0.000 0.500
Cl2 0.000 0.500 0.000
Cl3 0.500 0.000 0.000
Cl4 0.500 0.500 0.500

## Properties
The value obtained for the polymorph energy (0 for the lowest one) is 1.198 eV/atom. The density of states at the Fermi level is 14.8 states/eV per cell. For the total energy, the calculation gives -4.537 eV/atom. The calculation puts the formation energy without anion corrections at 1.670 eV/atom.

***

# 7
# Li2ScW

Li2ScW after structural relaxation (PBE, the Alexandria database).

a = 6.607 Å, b = 6.607 Å, c = 6.607 Å
α = 90.00°, β = 90.00°, γ = 90.00°
Positions (direct):
Li1 0.000 0.000 0.000
Li2 0.000 0.500 0.500
Li3 0.250 0.250 0.250
Li4 0.250 0.750 0.750
Li5 0.500 0.000 0.500
Li6 0.500 0.500 0.000
Li7 0.750 0.250 0.750
Li8 0.750 0.750 0.250
Sc1 0.000 0.000 0.500
Sc2 0.000 0.500 0.000
Sc3 0.500 0.000 0.000
Sc4 0.500 0.500 0.500
W1 0.250 0.250 0.750
W2 0.250 0.750 0.250
W3 0.750 0.250 0.250
W4 0.750 0.750 0.750

## Properties
The calculation puts the formation energy at 0.76 eV/atom. The value obtained for the polymorph energy (0 for the lowest one) is 0.484 eV/atom. The density of states at the Fermi level is 10.1 states/eV per cell. For the total energy, the calculation gives -5.019 eV/atom.

***

# 8
# Ca2YAgO5

Ca2YAgO5 after structural relaxation (PBE, the Alexandria database).

a = 8.805 Å, b = 8.805 Å, c = 8.805 Å
α = 56.25°, β = 140.68°, γ = 141.45°
Positions (direct):
Ca1 0.025 0.106 0.132
Ca2 0.025 0.394 0.419
Ca3 0.975 0.606 0.581
Ca4 0.975 0.894 0.868
Y1 0.431 0.725 0.206
Y2 0.519 0.225 0.794
Ag1 0.537 0.037 0.500
Ag2 0.537 0.537 0.000
O1 0.042 0.314 0.799
O2 0.042 0.743 0.227
O3 0.205 0.848 0.857
O4 0.499 0.259 0.521
O5 0.499 0.478 0.740
O6 0.515 0.243 0.201
O7 0.515 0.814 0.773
O8 0.738 0.759 0.260
O9 0.738 0.978 0.479
O10 0.991 0.348 0.143

## Properties
The value obtained for the polymorph energy (0 for the lowest one) is 0.074 eV/atom. The density of states at the Fermi level is 5.7 states/eV per cell. For the total energy, the calculation gives -6.386 eV/atom. The calculation puts the formation energy without anion corrections at -2.152 eV/atom.

***

Question: The lowest total energy belongs to which entry?
Answer: Ca2YAgO5